Entry 1:
# La2ZrAl PBE optimized geometry
# - N(E_F) (states/eV/atom) = 1.409
# - magnetization (μB/f.u.) = 0.0
# - crystal system = tetragonal
# - energy relative to the elements (meV per atom) = -34
data_La2ZrAl
_chemical_formula_sum 'La4 Zr2 Al2'
_cell_length_a 4.715
_cell_length_b 4.715
_cell_length_c 9.789
_cell_angle_alpha 90.00
_cell_angle_beta 90.00
_cell_angle_gamma 90.00
_space_group_name_H-M_alt 'I 4/m m m'
_space_group_IT_number 139
_space_group_name_Hall '-I 4 2'
loop_
_atom_site_label
_atom_site_fract_x
_atom_site_fract_y
_atom_site_fract_z
La1 0.000 0.500 0.250
Zr1 0.000 0.000 0.000
Al1 0.000 0.000 0.500

---

Entry 2:
# CdTcAs2 PBE optimized geometry
# - N(E_F) (states/eV/atom) = 0.571
# - magnetization (μB/f.u.) = 0.0
# - crystal system = trigonal
# - energy relative to the elements (meV per atom) = -60
data_CdTcAs2
_chemical_formula_sum 'Cd3 Tc3 As6'
_cell_length_a 3.1061
_cell_length_b 3.1061
_cell_length_c 30.0797
_cell_angle_alpha 90.00
_cell_angle_beta 90.00
_cell_angle_gamma 120.00
_space_group_name_H-M_alt 'R -3 m'
_space_group_IT_number 166
_space_group_name_Hall '-R 3 2"'
loop_
_atom_site_label
_atom_site_fract_x
_atom_site_fract_y
_atom_site_fract_z
Cd1 0.0000 0.0000 0.0000
Tc1 0.0000 0.0000 0.5000
As1 0.0000 0.0000 0.2263